Record 1
Material: Sr2ZnFeW
Method: DFT, SCAN
State: PBEsol geometry

Summary:
total DFT energy (no corrections): -138.874 eV for the cell shown
energy relative to the elements: 1402 meV/atom

a = 5.4533 Å, b = 5.4533 Å, c = 4.5640 Å
α = 90.00°, β = 90.00°, γ = 90.00°
With the nearest neighbours (Å) after each atom.
Space group P4/mmm (No. 123)
Symmetry-distinct sites (fractional):
Sr: 0.0000 0.5000 0.0000 (multiplicity 2)  2 Fe 2.73
Zn: 0.0000 0.0000 0.5000 (multiplicity 1)  2 Fe 2.28
Fe: 0.0000 0.0000 0.0000 (multiplicity 1)  2 Zn 2.28
W: 0.5000 0.5000 0.5000 (multiplicity 1)  8 Sr 3.56, 4 Zn 3.86

---

Record 2
Material: Cs2CuH8Se2O12
Method: DFT, SCAN
State: PBEsol geometry

Summary:
total DFT energy (no corrections): -524.191 eV for the cell shown

a = 7.4480 Å, b = 7.9408 Å, c = 11.8144 Å
α = 90.00°, β = 110.28°, γ = 90.00°
With the nearest neighbours (Å) after each atom.
Space group P2_1/c (No. 14)
Symmetry-distinct sites (fractional):
Cs: 0.2148 0.1174 0.2585 (multiplicity 4)  4 H 3.03-3.28, 9 O 3.14-3.37
Cu: 0.5000 0.0000 0.0000 (multiplicity 2)  4 O 1.94-1.97
H: 0.1731 0.2295 0.9834 (multiplicity 4)  1 O 1.00
H: 0.2333 0.6619 0.3668 (multiplicity 4)  1 O 1.02
H: 0.3137 0.5471 0.2776 (multiplicity 4)  1 O 1.01
H: 0.3276 0.1461 0.5690 (multiplicity 4)  1 O 1.00
Se: 0.2346 0.7136 0.0689 (multiplicity 4)  4 O 1.66-1.69
O: 0.0585 0.7242 0.6145 (multiplicity 4)  1 Se 1.66, 1 H 1.71
O: 0.1599 0.6770 0.9210 (multiplicity 4)  1 H 1.61, 1 Se 1.67
O: 0.2827 0.5466 0.3547 (multiplicity 4)  2 H 1.01-1.02
O: 0.3122 0.2398 0.0318 (multiplicity 4)  2 H 1.00
O: 0.3382 0.5414 0.1458 (multiplicity 4)  2 H 1.63-1.73, 1 Se 1.68
O: 0.4031 0.6343 0.6069 (multiplicity 4)  1 Se 1.69

---

Record 3
Material: Sb2PbW
Method: DFT, SCAN
State: PBEsol geometry

Summary:
ΔE_f (raw): 1123 meV/atom
total DFT energy (no corrections): -861.990 eV for the cell shown

a = 7.0771 Å, b = 7.0771 Å, c = 7.0771 Å
α = 90.00°, β = 90.00°, γ = 90.00°
With the nearest neighbours (Å) after each atom.
Space group F-43m (No. 216)
Symmetry-distinct sites (fractional):
Sb: 0.0000 0.0000 0.0000 (multiplicity 4)  4 Pb 3.06, 4 Sb 3.06
Sb: 0.2500 0.2500 0.2500 (multiplicity 4)  4 W 3.06, 4 Sb 3.06
Pb: 0.2500 0.2500 0.7500 (multiplicity 4)  4 W 3.06, 4 Sb 3.06
W: 0.0000 0.0000 0.5000 (multiplicity 4)  4 Pb 3.06, 4 Sb 3.06

---

Record 4
Material: BaYMnCuO5
Method: DFT, SCAN
State: PBEsol geometry

Summary:
ΔE_f (raw): -2552 meV/atom
total DFT energy (no corrections): -154.975 eV for the cell shown

a = 3.8580 Å, b = 3.8580 Å, c = 7.4660 Å
α = 90.00°, β = 90.00°, γ = 90.00°
With the nearest neighbours (Å) after each atom.
Space group P4mm (No. 99)
Symmetry-distinct sites (fractional):
Ba: 0.0000 0.0000 0.0000 (multiplicity 1)  8 O 2.74-2.92
Y: 0.0000 0.0000 0.5269 (multiplicity 1)  8 O 2.35-2.43
Mn: 0.5000 0.5000 0.2850 (multiplicity 1)  5 O 1.83-1.96
Cu: 0.5000 0.5000 0.7298 (multiplicity 1)  4 O 1.94
O: 0.0000 0.5000 0.3300 (multiplicity 2)  2 Mn 1.96
O: 0.0000 0.5000 0.7066 (multiplicity 2)  2 Cu 1.94
O: 0.5000 0.5000 0.0399 (multiplicity 1)  1 Mn 1.83

---

Record 5
Material: PrNiB4
Method: DFT, SCAN
State: PBEsol geometry

Summary:
total DFT energy (no corrections): -741.165 eV for the cell shown
energy relative to the elements: -571 meV/atom

a = 7.6352 Å, b = 7.6352 Å, c = 8.6199 Å
α = 90.00°, β = 90.00°, γ = 90.00°
With the nearest neighbours (Å) after each atom.
Space group I4/mmm (No. 139)
Symmetry-distinct sites (fractional):
Pr: 0.0000 0.0000 0.2045 (multiplicity 4)  16 B 2.81-2.91, 4 Ni 3.08
Pr: 0.0000 0.5000 0.2500 (multiplicity 4)  16 B 2.84-2.88, 4 Ni 3.00
Ni: 0.0000 0.2271 0.5000 (multiplicity 8)  6 B 2.09-2.21
B: 0.1129 0.2771 0.0000 (multiplicity 16)  4 B 1.72-1.77
B: 0.2337 0.2337 0.3487 (multiplicity 16)  3 B 1.74-1.76

---

Record 6
Material: YScAs2
Method: DFT, SCAN
State: PBEsol geometry

Summary:
relative energy among the computed polymorphs: 0 meV/atom
total DFT energy (no corrections): -267.053 eV for the cell shown
energy relative to the elements: -1639 meV/atom

a = 3.9508 Å, b = 3.9508 Å, c = 19.3065 Å
α = 90.00°, β = 90.00°, γ = 120.00°
With the nearest neighbours (Å) after each atom.
Space group R-3m (No. 166, hexagonal axes)
Symmetry-distinct sites (fractional):
Y: 0.0000 0.0000 0.0000 (multiplicity 3)  6 As 2.85
Sc: 0.0000 0.0000 0.5000 (multiplicity 3)  6 As 2.74
As: 0.0000 0.0000 0.2449 (multiplicity 6)  3 Sc 2.74, 3 Y 2.85

---

Record 7
Material: Cs3BiH
Method: DFT, SCAN
State: PBEsol geometry

Summary:
total DFT energy (no corrections): -197.060 eV for the cell shown

a = 5.9032 Å, b = 5.9032 Å, c = 5.9032 Å
α = 90.00°, β = 90.00°, γ = 90.00°
With the nearest neighbours (Å) after each atom.
Space group Pm-3m (No. 221)
Symmetry-distinct sites (fractional):
Cs: 0.0000 0.0000 0.5000 (multiplicity 3)  2 H 2.95
Bi: 0.5000 0.5000 0.5000 (multiplicity 1)  12 Cs 4.17
H: 0.0000 0.0000 0.0000 (multiplicity 1)  6 Cs 2.95

---

Record 8
Material: MgInPb2
Method: DFT, SCAN
State: PBEsol geometry

Summary:
total DFT energy (no corrections): -380.105 eV for the cell shown
energy relative to the elements: -33 meV/atom

a = 6.9770 Å, b = 9.0308 Å, c = 3.3917 Å
α = 90.00°, β = 90.11°, γ = 90.00°
With the nearest neighbours (Å) after each atom.
Space group C2/m (No. 12)
Symmetry-distinct sites (fractional):
Mg: 0.0000 0.0000 0.0000 (multiplicity 2)  8 Pb 3.32, 2 Mg 3.39, 2 In 3.49
In: 0.0000 0.5000 0.0000 (multiplicity 2)  8 Pb 3.32, 2 In 3.39, 2 Mg 3.49
Pb: 0.2500 0.2500 0.5000 (multiplicity 4)  4 In 3.32, 4 Mg 3.32, 4 Pb 3.39-3.49